No. 1
# SrCuHF6

A relaxed SrCuHF6 crystal (PBE-GGA, Alexandria via LeMat-Bulk).

Its volume is 118.1 Å³ per cell. The magnetization is 0.00 μB/atom. The final energy is -4.55 eV per atom.

The structure belongs to space group P-1 (No. 2); the cell edges are 4.372, 5.004 and 5.833 Å and the angles 95.98°, 111.29° and 90.04°. The distinct sites, in fractional coordinates, are Sr at (0.000, 0.000, 0.000), Cu at (0.000, 0.500, 0.500), H at (0.500, 0.500, 0.000), F at (0.122, 0.623, 0.269), F at (0.184, 0.193, 0.453) and F at (0.464, 0.716, 0.942).


No. 2
# Tb2Pr5Sm4

A relaxed Tb2Pr5Sm4 crystal (PBE-GGA, Alexandria via LeMat-Bulk).

Its calculated formation energy is 135 meV/atom. Its volume is 765.8 Å³ per cell. The magnetization is 0.00 μB/atom. As for the density of states at the Fermi level: 1.5981 states/eV per atom. The final energy is -4.59 eV per atom.

The structure belongs to space group C2/m (No. 12); the cell edges are 24.423, 3.524 and 8.965 Å and the angles 90.00°, 97.02° and 90.00°. The distinct sites, in fractional coordinates, are Tb at (0.091, 0.000, 0.231), Pr at (0.000, 0.500, 0.500), Pr at (0.140, 0.000, 0.616), Pr at (0.230, 0.000, 0.320), Sm at (0.045, 0.000, 0.863) and Sm at (0.176, 0.500, 0.972).


No. 3
# Rb2TiInCl6

A relaxed Rb2TiInCl6 crystal (PBE-GGA, Alexandria via LeMat-Bulk).

Its volume is 631.7 Å³ per cell. The magnetization is 0.10 μB/atom. The calculation puts the formation energy from raw total energies at -1.601 eV per atom. As for the density of states at the Fermi level: 0.6844 states/eV per atom. The final energy is -3.97 eV per atom.

The structure belongs to space group P2_1/c (No. 14); the cell edges are 7.498, 7.822 and 13.116 Å and the angles 90.00°, 124.79° and 90.00°. The distinct sites, in fractional coordinates, are Rb at (0.228, 0.065, 0.248), Ti at (0.000, 0.000, 0.500), In at (0.500, 0.000, 0.000), Cl at (0.123, 0.237, 0.955), Cl at (0.226, 0.672, 0.959) and Cl at (0.303, 0.021, 0.719).


No. 4
# Th2Ga4RuPt3

A relaxed Th2Ga4RuPt3 crystal (PBE-GGA, Alexandria via LeMat-Bulk).

Its calculated formation energy is -882 meV/atom. Its volume is 191.6 Å³ per cell. The magnetization is 0.00 μB/atom. As for the density of states at the Fermi level: 0.6300 states/eV per atom. The final energy is -6.32 eV per atom.

The structure belongs to space group P-4m2 (No. 115); the cell edges are 4.307, 4.307 and 10.332 Å and the angles 90.00°, 90.00° and 90.00°. The distinct sites, in fractional coordinates, are Th at (0.000, 0.500, 0.245), Ga at (0.000, 0.000, 0.500), Ga at (0.000, 0.500, 0.874), Ga at (0.500, 0.500, 0.500), Ru at (0.500, 0.500, 0.000), Pt at (0.000, 0.000, 0.000) and Pt at (0.000, 0.500, 0.635).


No. 5
# Ce6GeTe3Se2

A relaxed Ce6GeTe3Se2 crystal (PBE-GGA, Alexandria via LeMat-Bulk).

Its volume is 702.5 Å³ per cell. The magnetization is 0.50 μB/atom. The calculation puts the formation energy from raw total energies at -1.433 eV per atom. As for the density of states at the Fermi level: 3.3750 states/eV per atom. The final energy is -6.15 eV per atom.

The structure belongs to space group C2/m (No. 12); the cell edges are 7.482, 12.957 and 7.663 Å and the angles 90.00°, 108.98° and 90.00°. The distinct sites, in fractional coordinates, are Ce at (0.241, 0.166, 0.227), Ce at (0.244, 0.500, 0.226), Ge at (0.000, 0.000, 0.000), Te at (0.000, 0.167, 0.500), Te at (0.000, 0.500, 0.500) and Se at (0.000, 0.333, 0.000).


No. 6
# MgVTe2Se

A relaxed MgVTe2Se crystal (PBE-GGA, Alexandria via LeMat-Bulk).

Its volume is 152.6 Å³ per cell. The magnetization is 0.62 μB/atom. The calculation puts the formation energy from raw total energies at 0.411 eV per atom. As for the density of states at the Fermi level: 1.1442 states/eV per atom. The final energy is -3.69 eV per atom.

The structure belongs to space group P4/mmm (No. 123); the cell edges are 5.752, 5.752 and 4.614 Å and the angles 90.00°, 90.00° and 90.00°. The distinct sites, in fractional coordinates, are Mg at (0.000, 0.000, 0.000), V at (0.500, 0.500, 0.000), Te at (0.000, 0.500, 0.500) and Se at (0.500, 0.500, 0.500).


No. 7
# RbHg3Pd2

A relaxed RbHg3Pd2 crystal (PBE-GGA, Alexandria via LeMat-Bulk).

Its calculated formation energy is -233 meV/atom. Its volume is 627.1 Å³ per cell. The magnetization is 0.00 μB/atom. As for the density of states at the Fermi level: 0.3723 states/eV per atom. The final energy is -2.28 eV per atom.

The structure belongs to space group Cmcm (No. 63); the cell edges are 11.735, 9.018 and 5.926 Å and the angles 90.00°, 90.00° and 90.00°. The distinct sites, in fractional coordinates, are Rb at (0.000, 0.155, 0.250), Hg at (0.000, 0.448, 0.750), Hg at (0.202, 0.228, 0.750) and Pd at (0.201, 0.500, 0.000).


No. 8
# CsNaCa2Zn

A relaxed CsNaCa2Zn crystal (PBE-GGA, Alexandria via LeMat-Bulk).

Its calculated formation energy is 104 meV/atom. Its volume is 227.1 Å³ per cell. The magnetization is 0.00 μB/atom. As for the density of states at the Fermi level: 0.7356 states/eV per atom. The final energy is -1.39 eV per atom.

The structure belongs to space group P4/mmm (No. 123); the cell edges are 5.949, 5.949 and 6.418 Å and the angles 90.00°, 90.00° and 90.00°. The distinct sites, in fractional coordinates, are Cs at (0.000, 0.000, 0.000), Na at (0.500, 0.500, 0.000), Ca at (0.000, 0.500, 0.500) and Zn at (0.500, 0.500, 0.500).